# 1
Below is crystalline CaAg2Rh at its relaxed geometry, with properties calculated at the PBE-GGA level.

Output
For the final energy, the calculation gives -31.00 eV for the cell shown. For the formation energy, the calculation gives -0.1114 eV/atom. The density of states at the Fermi level is 0.516 states/eV/atom.

Lattice parameters (Å, degrees): 3.418 4.571 9.857 90.00 90.00 90.00
Space group Immm (No. 71)
Inequivalent atoms, fractional coordinates:
Ca (0.000, 0.000, 0.000)
Ag (0.000, 0.500, 0.231)
Rh (0.000, 0.000, 0.500)



# 2
Below is crystalline Ba2BeI2 at its relaxed geometry, with properties calculated at the PBE-GGA level.

Output
For the final energy, the calculation gives -25.87 eV for the cell shown. The raw formation energy is -0.45 eV/atom. The density of states at the Fermi level is 0.871 states/eV/atom.

Lattice parameters (Å, degrees): 9.546 9.546 4.360 90.00 90.00 90.00
Space group P4/mbm (No. 127)
Inequivalent atoms, fractional coordinates:
Ba (0.168, 0.332, 0.000)
Be (0.000, 0.000, 0.500)
I (0.134, 0.634, 0.500)



| no. | V (Å³ per cell) |
| --- | --- |
| 1 | 154.0 |
| 2 | 397.3 |